A plane-wave DFT calculation with meta-GGA SCAN was carried out for TlHgPb at its PBEsol-relaxed geometry.

Results
total energy: -72.067 eV/atom
V: 80 Å³/cell
D(E_F): 0.430 states/eV/atom
energy relative to the lowest polymorph listed for this composition: 0.0216 eV/atom
formation energy from the elements: 0.034 eV/atom
density: 12.63 g cm⁻³

Cell and atoms, written as POSCAR:
```
TlHgPb
1.0
-1.223 3.072 1.034
-4.429 -1.605 -0.396
3.322 -2.380 4.300
Hg Tl Pb
1 1 1
direct
0.000 0.998 0.000 Hg
0.344 0.342 0.670 Tl
0.656 0.660 0.330 Pb
```



A plane-wave DFT calculation with meta-GGA SCAN was carried out for HgPbW2 at its PBEsol-relaxed geometry.

Results
total energy: -69.443 eV/atom
V: 72 Å³/cell
D(E_F): 0.763 states/eV/atom
energy relative to the lowest polymorph listed for this composition: 0.3908 eV/atom
formation energy from the elements: 1.387 eV/atom
density: 17.87 g cm⁻³

Cell and atoms, written as POSCAR:
```
HgPbW2
1.0
4.671 0.000 0.000
2.336 4.045 0.000
2.336 1.348 3.814
W Hg Pb
2 1 1
direct
0.250 0.250 0.250 W
0.750 0.750 0.750 W
0.000 0.000 0.000 Hg
0.500 0.500 0.500 Pb
```



A plane-wave DFT calculation with meta-GGA SCAN was carried out for HgPbW2 at its PBEsol-relaxed geometry.

Results
total energy: -69.689 eV/atom
V: 74 Å³/cell
D(E_F): 0.657 states/eV/atom
energy relative to the lowest polymorph listed for this composition: 0.1454 eV/atom
formation energy from the elements: 1.142 eV/atom
density: 17.29 g cm⁻³

Cell and atoms, written as POSCAR:
```
HgPbW2
1.0
-2.936 0.457 -1.066
-1.767 -1.868 4.066
-0.043 4.463 2.031
Pb W Hg
1 2 1
direct
0.000 0.500 0.500 Pb
0.000 0.000 0.000 W
0.500 0.000 0.500 W
0.500 0.500 0.000 Hg
```



> Which of these has the lowest D(E_F)?

TlHgPb



> Among the records above, which one has the highest energy relative to the lowest polymorph listed for this composition?

number 2



> Among the records above, which one has the lowest energy relative to the lowest polymorph listed for this composition?

TlHgPb